Arrangement i

## VFeSb2I (GGA-PBE)

Data for VFeSb2I after structural relaxation.

a b c (Å): 5.076 5.076 5.680
angles (deg): 90.00 90.00 90.00
Element x y z (fractional)
V (0.000, 0.000, 0.000)
Fe (0.500, 0.500, 0.500)
Sb (0.000, 0.500, 0.000)
Sb (0.500, 0.000, 0.000)
I (0.000, 0.000, 0.500)

Values from the calculation:
The space group is P4/mmm. The value obtained for the total magnetization is 4.8 Bohr magnetons per cell.



Arrangement ii

## VFeSb2I (GGA-PBE)

Data for VFeSb2I after structural relaxation.

a b c (Å): 4.832 4.832 5.506
angles (deg): 90.00 90.00 90.00
Element x y z (fractional)
V (0.000, 0.000, 0.000)
Fe (0.500, 0.500, 0.500)
Sb (0.000, 0.500, 0.500)
Sb (0.500, 0.000, 0.500)
I (0.500, 0.500, 0.000)

Values from the calculation:
The space group is P4/mmm. The value obtained for the total magnetization is 1.0 Bohr magnetons per cell.



Last place for stability: arrangement ii



Arrangement i

## FeSb2WI (GGA-PBE)

Data for FeSb2WI after structural relaxation.

a b c (Å): 5.177 5.177 5.857
angles (deg): 90.00 90.00 90.00
Element x y z (fractional)
Fe (0.000, 0.000, 0.000)
Sb (0.000, 0.500, 0.500)
Sb (0.500, 0.000, 0.500)
W (0.500, 0.500, 0.500)
I (0.500, 0.500, 0.000)

Values from the calculation:
The space group is P4/mmm. The value obtained for the total magnetization is 4.3 Bohr magnetons per cell.



Arrangement ii

## FeSb2WI (GGA-PBE)

Data for FeSb2WI after structural relaxation.

a b c (Å): 4.809 4.809 5.371
angles (deg): 90.00 90.00 90.00
Element x y z (fractional)
Fe (0.000, 0.000, 0.000)
Sb (0.000, 0.500, 0.000)
Sb (0.500, 0.000, 0.000)
W (0.500, 0.500, 0.500)
I (0.000, 0.000, 0.500)

Values from the calculation:
The space group is P4/mmm. The value obtained for the total magnetization is 3.8 Bohr magnetons per cell.



Last place for stability: arrangement ii



Arrangement i

## ZrFeSb2I (GGA-PBE)

Data for ZrFeSb2I after structural relaxation.

a b c (Å): 4.886 4.886 5.444
angles (deg): 90.00 90.00 90.00
Element x y z (fractional)
Zr (0.000, 0.000, 0.000)
Fe (0.500, 0.500, 0.500)
Sb (0.000, 0.500, 0.500)
Sb (0.500, 0.000, 0.500)
I (0.500, 0.500, 0.000)

Values from the calculation:
The space group is P4/mmm. The value obtained for the total magnetization is 3.0 Bohr magnetons per cell.



Arrangement ii

## ZrFeSb2I (GGA-PBE)

Data for ZrFeSb2I after structural relaxation.

a b c (Å): 5.594 5.594 5.646
angles (deg): 90.00 90.00 90.00
Element x y z (fractional)
Zr (0.000, 0.000, 0.000)
Fe (0.500, 0.500, 0.500)
Sb (0.000, 0.500, 0.000)
Sb (0.500, 0.000, 0.000)
I (0.000, 0.000, 0.500)

Values from the calculation:
The space group is P4/mmm. The value obtained for the total magnetization is 4.1 Bohr magnetons per cell.



Last place for stability: arrangement ii



Arrangement i

## ZrFeSbI2 (GGA-PBE)

Data for ZrFeSbI2 after structural relaxation.

a b c (Å): 5.064 5.064 5.045
angles (deg): 90.00 90.00 90.00
Element x y z (fractional)
Zr (0.000, 0.000, 0.000)
Fe (0.500, 0.500, 0.500)
Sb (0.500, 0.500, 0.000)
I (0.000, 0.500, 0.500)
I (0.500, 0.000, 0.500)

Values from the calculation:
The space group is P4/mmm. The value obtained for the total magnetization is 0.0 Bohr magnetons per cell.



Arrangement ii

## ZrFeSbI2 (GGA-PBE)

Data for ZrFeSbI2 after structural relaxation.

a b c (Å): 5.642 5.642 5.783
angles (deg): 90.00 90.00 90.00
Element x y z (fractional)
Zr (0.000, 0.000, 0.000)
Fe (0.500, 0.500, 0.500)
Sb (0.000, 0.000, 0.500)
I (0.000, 0.500, 0.000)
I (0.500, 0.000, 0.000)

Values from the calculation:
The space group is P4/mmm. The value obtained for the total magnetization is 3.9 Bohr magnetons per cell.



Last place for stability: arrangement i



Arrangement i

## ScFeI2 (GGA-PBE)

Data for ScFeI2 after structural relaxation.

a b c (Å): 7.458 7.458 7.458
angles (deg): 129.22 129.22 74.66
Element x y z (fractional)
Sc (0.000, 0.000, 0.000)
Sc (0.750, 0.250, 0.500)
Fe (0.250, 0.750, 0.500)
Fe (0.500, 0.500, 0.000)
I (0.168, 0.625, 0.043)
I (0.375, 0.418, 0.543)
I (0.582, 0.125, 0.957)
I (0.875, 0.832, 0.457)

Values from the calculation:
The space group is I-42d. The value obtained for the total magnetization is 2.0 Bohr magnetons per cell.



Arrangement ii

## ScFeI2 (GGA-PBE)

Data for ScFeI2 after structural relaxation.

a b c (Å): 5.095 5.095 5.095
angles (deg): 60.00 60.00 60.00
Element x y z (fractional)
Sc (0.000, 0.000, 0.000)
Fe (0.500, 0.500, 0.500)
I (0.250, 0.250, 0.250)
I (0.750, 0.750, 0.750)

Values from the calculation:
The space group is Fm-3m. The value obtained for the total magnetization is 3.0 Bohr magnetons per cell.



Last place for stability: arrangement ii



Arrangement i

## Sc2FeI (GGA-PBE)

Data for Sc2FeI after structural relaxation.

a b c (Å): 8.605 8.605 8.605
angles (deg): 25.75 25.75 25.75
Element x y z (fractional)
Sc (0.114, 0.114, 0.114)
Sc (0.886, 0.886, 0.886)
Fe (0.500, 0.500, 0.500)
I (0.000, 0.000, 0.000)

Values from the calculation:
The space group is R-3m. The value obtained for the total magnetization is 0.7 Bohr magnetons per cell.



Arrangement ii

## Sc2FeI (GGA-PBE)

Data for Sc2FeI after structural relaxation.

a b c (Å): 4.832 4.832 4.832
angles (deg): 60.00 60.00 60.00
Element x y z (fractional)
Sc (0.250, 0.250, 0.250)
Sc (0.750, 0.750, 0.750)
Fe (0.000, 0.000, 0.000)
I (0.500, 0.500, 0.500)

Values from the calculation:
The space group is Fm-3m. The value obtained for the total magnetization is 0.0 Bohr magnetons per cell.



Last place for stability: arrangement ii



Arrangement i

## FeSe2I2 (GGA-PBE)

Data for FeSe2I2 after structural relaxation.

a b c (Å): 6.300 6.300 6.300
angles (deg): 120.65 120.65 88.88
Element x y z (fractional)
Fe (0.000, 0.000, 0.000)
Se (0.253, 0.253, 0.000)
Se (0.747, 0.747, 0.000)
I (0.250, 0.750, 0.500)
I (0.750, 0.250, 0.500)

Values from the calculation:
The space group is I4/mmm. The value obtained for the total magnetization is 3.4 Bohr magnetons per cell.



Arrangement ii

## FeSe2I2 (GGA-PBE)

Data for FeSe2I2 after structural relaxation.

a b c (Å): 6.222 6.222 8.860
angles (deg): 90.00 90.00 90.00
Element x y z (fractional)
Fe (0.000, 0.000, 0.000)
Fe (0.500, 0.500, 0.000)
Se (0.144, 0.356, 0.000)
Se (0.356, 0.856, 0.000)
Se (0.644, 0.144, 0.000)
Se (0.856, 0.644, 0.000)
I (0.189, 0.689, 0.500)
I (0.311, 0.189, 0.500)
I (0.689, 0.811, 0.500)
I (0.811, 0.311, 0.500)

Values from the calculation:
The space group is P4/mbm. The value obtained for the total magnetization is 6.2 Bohr magnetons per cell.



Last place for stability: arrangement i



Arrangement i

## Fe2SeI (GGA-PBE)

Data for Fe2SeI after structural relaxation.

a b c (Å): 4.696 4.696 4.696
angles (deg): 60.00 60.00 60.00
Element x y z (fractional)
Fe (0.250, 0.250, 0.250)
Fe (0.750, 0.750, 0.750)
Se (0.000, 0.000, 0.000)
I (0.500, 0.500, 0.500)

Values from the calculation:
The space group is Fm-3m. The value obtained for the total magnetization is 6.3 Bohr magnetons per cell.



Arrangement ii

## Fe2SeI (GGA-PBE)

Data for Fe2SeI after structural relaxation.

a b c (Å): 6.816 6.816 6.816
angles (deg): 133.43 133.43 67.98
Element x y z (fractional)
Fe (0.087, 0.625, 0.962)
Fe (0.375, 0.337, 0.462)
Fe (0.663, 0.125, 0.038)
Fe (0.875, 0.913, 0.538)
Se (0.000, 0.000, 0.000)
Se (0.750, 0.250, 0.500)
I (0.250, 0.750, 0.500)
I (0.500, 0.500, 0.000)

Values from the calculation:
The space group is I-42d. The value obtained for the total magnetization is 0.0 Bohr magnetons per cell.



Last place for stability: arrangement i



Arrangement i

## FeTeSeI2 (GGA-PBE)

Data for FeTeSeI2 after structural relaxation.

a b c (Å): 5.649 5.649 5.646
angles (deg): 90.00 90.00 90.00
Element x y z (fractional)
Fe (0.000, 0.000, 0.000)
Te (0.500, 0.500, 0.000)
Se (0.500, 0.500, 0.500)
I (0.000, 0.500, 0.500)
I (0.500, 0.000, 0.500)

Values from the calculation:
The space group is P4/mmm. The value obtained for the total magnetization is 4.1 Bohr magnetons per cell.



Arrangement ii

## FeTeSeI2 (GGA-PBE)

Data for FeTeSeI2 after structural relaxation.

a b c (Å): 5.213 5.213 4.952
angles (deg): 90.00 90.00 90.00
Element x y z (fractional)
Fe (0.000, 0.000, 0.000)
Te (0.000, 0.000, 0.500)
Se (0.500, 0.500, 0.500)
I (0.000, 0.500, 0.000)
I (0.500, 0.000, 0.000)

Values from the calculation:
The space group is P4/mmm. The value obtained for the total magnetization is 2.1 Bohr magnetons per cell.



Last place for stability: arrangement i



Arrangement i

## Fe3SiI (GGA-PBE)

Data for Fe3SiI after structural relaxation.

a b c (Å): 4.664 4.664 4.664
angles (deg): 90.00 90.00 90.00
Element x y z (fractional)
Fe (0.000, 0.000, 0.500)
Fe (0.000, 0.500, 0.000)
Fe (0.500, 0.000, 0.000)
Si (0.500, 0.500, 0.500)
I (0.000, 0.000, 0.000)

Values from the calculation:
The space group is Pm-3m. The value obtained for the total magnetization is 6.4 Bohr magnetons per cell.



Arrangement ii

## Fe3SiI (GGA-PBE)

Data for Fe3SiI after structural relaxation.

a b c (Å): 4.400 4.400 4.400
angles (deg): 90.00 90.00 90.00
Element x y z (fractional)
Fe (0.000, 0.000, 0.500)
Fe (0.000, 0.500, 0.000)
Fe (0.500, 0.000, 0.000)
Si (0.000, 0.000, 0.000)
I (0.500, 0.500, 0.500)

Values from the calculation:
The space group is Pm-3m. The value obtained for the total magnetization is 5.9 Bohr magnetons per cell.



Last place for stability: arrangement i